# 1
MgNiOs2I: optimized geometry, PBE-GGA.

Properties
Its uncorrected formation energy is 2107.6 meV/atom.

Cell lengths 4.688, 4.688, 4.306 Å; angles 90.00, 90.00, 90.00 degrees
Space group P4/mmm (No. 123)
Symmetry-distinct sites (fractional):
Mg  0.000  0.000  0.000 x1
Ni  0.000  0.000  0.500 x1
Os  0.000  0.500  0.000 x2
I  0.500  0.500  0.500 x1

---

# 2
Mg4Se3: optimized geometry, PBE-GGA.

Properties
Its uncorrected formation energy is -875.6 meV/atom. The value obtained for the energy above the lowest structure with this stoichiometry is 0.000 eV/atom.

Cell lengths 5.431, 5.431, 5.431 Å; angles 90.00, 90.00, 90.00 degrees
Space group Pm-3m (No. 221)
Symmetry-distinct sites (fractional):
Mg  0.000  0.000  0.000 x1
Mg  0.000  0.500  0.500 x3
Se  0.000  0.000  0.500 x3

---

# 3
Li6PmMg12: optimized geometry, PBE-GGA.

Properties
For the energy of formation from the pure elements, the calculation gives 83 meV/atom.

Cell lengths 12.5250, 12.5250, 9.4767 Å; angles 90.00, 90.00, 120.00 degrees
Space group R-3m (No. 166, hexagonal axes)
Symmetry-distinct sites (fractional):
Li  0.0345  0.5172  0.2517 x18
Pm  0.0000  0.0000  0.0000 x3
Mg  0.0000  0.3820  0.5000 x18
Mg  0.0844  0.1689  0.3297 x18

---

How do the records compare in total energy? In the order shown, they have -20.85; -22.96; -101.40 eV for the cell shown.